(1)
Fe2CuH: optimized geometry, PBE.

Lattice parameters (Å, degrees): 3.886 3.886 3.886 60.00 60.00 60.00
Fractional coordinates of all 4 atoms:
Fe (0.250, 0.250, 0.250)
H (0.000, 0.000, 0.000)
Fe (0.750, 0.750, 0.750)
Cu (0.500, 0.500, 0.500)

## Properties
* E_tot: -5.45 eV/atom
* M_tot: 5.000 μB/f.u.

(2)
ScTc2W: optimized geometry, PBE.

Lattice parameters (Å, degrees): 4.479 2.819 5.187 78.12 90.00 90.00
Fractional coordinates of all 4 atoms:
W (0.000, 0.475, 0.493)
Tc (0.000, 0.007, 0.993)
Sc (0.500, 0.758, 0.758)
Tc (0.500, 0.260, 0.256)

## Properties
* E_tot: -10.03 eV/atom
* E_form: -25 meV per atom
* M_tot: 0.000 μB/f.u.

(3)
CaCl2: optimized geometry, PBE.

Lattice parameters (Å, degrees): 4.771 4.771 4.771 60.00 60.00 60.00
Fractional coordinates of all 3 atoms:
Cl (0.750, 0.750, 0.750)
Ca (0.000, 0.000, 0.000)
Cl (0.250, 0.250, 0.250)

## Properties
* E_tot: -4.24 eV/atom
* M_tot: 0.000 μB/f.u.
* formation energy from raw total energies: -2.342 eV per atom

(4)
YZnRe: optimized geometry, PBE.

Lattice parameters (Å, degrees): 4.689 4.689 4.689 60.00 60.00 60.00
Fractional coordinates of all 3 atoms:
Zn (0.000, 0.000, 0.000)
Re (0.500, 0.500, 0.500)
Y (0.250, 0.250, 0.250)

## Properties
* E_tot: -5.44 eV/atom
* E_form: 1288 meV per atom
* M_tot: 1.874 μB/f.u.

(5)
Sm4PuAs5: optimized geometry, PBE.

Lattice parameters (Å, degrees): 5.934 7.273 7.273 80.42 65.92 65.92
Fractional coordinates of all 10 atoms:
Sm (0.802, 0.798, 0.600)
As (0.705, 0.198, 0.394)
Pu (0.001, 0.000, 0.000)
As (0.099, 0.606, 0.198)
Sm (0.402, 0.400, 0.798)
Sm (0.200, 0.202, 0.400)
As (0.903, 0.394, 0.802)
As (0.297, 0.802, 0.606)
Sm (0.600, 0.600, 0.202)
As (0.501, 0.000, 0.000)

## Properties
* E_tot: -7.06 eV/atom
* E_form: -1417 meV per atom
* M_tot: 4.954 μB/f.u.

(6)
MgNiHg: optimized geometry, PBE.

Lattice parameters (Å, degrees): 5.280 5.280 5.280 143.80 144.48 51.62
Fractional coordinates of all 3 atoms:
Hg (0.990, 0.990, 0.000)
Ni (0.326, 0.326, 0.000)
Mg (0.683, 0.683, 0.000)

## Properties
* E_tot: -2.61 eV/atom
* E_form: -46 meV per atom
* M_tot: 0.000 μB/f.u.